1:
This record from OQMD via LeMat-Bulk describes an optimized crystal structure of LiTaNiHg. The functional is GGA-PBE.

Structure (extended XYZ):
```
4
Lattice="0.0000 3.0761 3.0761 3.0761 0.0000 3.0761 3.0761 3.0761 0.0000" Properties=species:S:1:pos:R:3 pbc="T T T"
Li 0.0000 0.0000 0.0000
Ta 4.6141 4.6141 4.6141
Ni 3.0761 3.0761 3.0761
Hg 1.5380 1.5380 1.5380
```

Values from the calculation:
* space-group type: F-43m (216)
* V: 58.21 Å³/cell

---

2:
This record from OQMD via LeMat-Bulk describes an optimized crystal structure of LiTaNiHg. The functional is GGA-PBE.

Structure (extended XYZ):
```
4
Lattice="0.0000 3.1565 3.1565 3.1565 0.0000 3.1565 3.1565 3.1565 0.0000" Properties=species:S:1:pos:R:3 pbc="T T T"
Li 0.0000 0.0000 0.0000
Ta 3.1565 3.1565 3.1565
Ni 1.5782 1.5782 1.5782
Hg 4.7347 4.7347 4.7347
```

Values from the calculation:
* space-group type: F-43m (216)
* V: 62.90 Å³/cell

---

Each structure's energy above the most stable one, in kJ/mol of atoms: 1 0.0; 2 12.3.